CoHg2W | the Alexandria database | PBEsol | optimized geometry; energy = -19.4 eV for the cell shown; DFT formation energy = 0.825 eV/atom; D(E_F) = 0.89 states/eV/atom; offset from the most stable computed form = 161.8 meV per atom
1.0
-2.044 2.044 3.870
2.044 -2.044 3.870
2.044 2.044 -3.870
Co Hg W
1 2 1
direct
0.000 0.000 0.000
0.500 0.500 0.000
0.750 0.250 0.500
0.250 0.750 0.500


CoHgW2 | the Alexandria database | PBEsol | optimized geometry; energy = -33.8 eV for the cell shown; DFT formation energy = 0.532 eV/atom; D(E_F) = 0.79 states/eV/atom
1.0
4.742 -1.456 0.000
4.742 1.456 0.000
-1.090 0.000 4.398
Co Hg W
1 1 2
direct
0.000 0.000 0.000
0.500 0.500 0.500
0.261 0.261 0.770
0.739 0.739 0.230


CoHgW2 | the Alexandria database | PBEsol | optimized geometry; energy = -34.5 eV for the cell shown; DFT formation energy = 0.352 eV/atom; D(E_F) = 0.36 states/eV/atom
1.0
2.736 0.000 0.000
0.000 2.736 0.000
0.000 0.000 8.100
Co Hg W
1 1 2
direct
0.000 0.000 0.000
0.500 0.500 0.246
0.000 0.000 0.531
0.500 0.500 0.802


CoHgW2 | the Alexandria database | PBEsol | optimized geometry; energy = -33.9 eV for the cell shown; DFT formation energy = 0.510 eV/atom; D(E_F) = 0.78 states/eV/atom
1.0
2.749 0.000 0.000
0.000 3.610 0.000
0.000 0.000 6.199
Co Hg W
1 1 2
direct
0.000 0.000 0.000
0.000 0.000 0.500
0.500 0.500 0.203
0.500 0.500 0.797


CoHgW2 | the Alexandria database | PBEsol | optimized geometry; energy = -34.2 eV for the cell shown; DFT formation energy = 0.433 eV/atom; D(E_F) = 0.93 states/eV/atom
1.0
3.133 0.000 0.000
0.000 3.133 0.000
0.000 0.000 6.244
Co Hg W
1 1 2
direct
0.000 0.000 0.000
0.500 0.500 0.262
0.000 0.000 0.564
0.500 0.500 0.807


YCo2Hg | the Alexandria database | PBEsol | optimized geometry; energy = -22.4 eV for the cell shown; DFT formation energy = 0.109 eV/atom; D(E_F) = 1.42 states/eV/atom
1.0
-1.926 1.926 4.333
1.926 -1.926 4.333
1.926 1.926 -4.333
Y Co Hg
1 2 1
direct
0.000 0.000 0.000
0.500 0.500 0.000
0.750 0.250 0.500
0.250 0.750 0.500


Y2Co2Hg | the Alexandria database | PBEsol | optimized geometry; energy = -29.8 eV for the cell shown; DFT formation energy = -0.030 eV/atom; D(E_F) = 0.97 states/eV/atom
1.0
-2.575 2.575 3.747
2.575 -2.575 3.747
2.575 2.575 -3.747
Y Co Hg
2 2 1
direct
0.250 0.750 0.500
0.750 0.250 0.500
0.150 0.150 0.000
0.850 0.850 0.000
0.500 0.500 0.000


Y2Co2Hg | the Alexandria database | PBEsol | optimized geometry; energy = -30.2 eV for the cell shown; DFT formation energy = -0.104 eV/atom; D(E_F) = 0.93 states/eV/atom
1.0
-1.663 1.663 8.902
1.663 -1.663 8.902
1.663 1.663 -8.902
Y Co Hg
2 2 1
direct
0.121 0.121 0.000
0.879 0.879 0.000
0.250 0.750 0.500
0.750 0.250 0.500
0.500 0.500 0.000


YCoHg2 | the Alexandria database | PBEsol | optimized geometry; energy = -15.9 eV for the cell shown; DFT formation energy = -0.058 eV/atom; D(E_F) = 0.85 states/eV/atom
1.0
3.385 0.000 0.000
0.000 3.385 0.000
0.000 0.000 6.722
Y Co Hg
1 1 2
direct
0.000 0.000 0.000
0.000 0.000 0.500
0.500 0.500 0.290
0.500 0.500 0.710


Y2CoHg | the Alexandria database | PBEsol | optimized geometry; energy = -23.0 eV for the cell shown; DFT formation energy = -0.272 eV/atom; D(E_F) = 0.84 states/eV/atom
1.0
4.332 0.000 0.000
0.000 1.917 5.303
0.000 -1.917 5.303
Y Co Hg
2 1 1
direct
0.000 0.000 0.000
0.500 0.293 0.293
0.000 0.733 0.733
0.500 0.579 0.579


Y2CoHg | the Alexandria database | PBEsol | optimized geometry; energy = -23.4 eV for the cell shown; DFT formation energy = -0.359 eV/atom; D(E_F) = 0.67 states/eV/atom
1.0
3.365 0.000 0.000
0.000 3.365 0.000
0.000 0.000 7.482
Y Co Hg
2 1 1
direct
0.000 0.000 0.216
0.000 0.000 0.784
0.500 0.500 0.000
0.500 0.500 0.500


Y2CoHg | the Alexandria database | PBEsol | optimized geometry; energy = -22.2 eV for the cell shown; DFT formation energy = -0.068 eV/atom; D(E_F) = 0.85 states/eV/atom
1.0
-2.120 2.120 4.579
2.120 -2.120 4.579
2.120 2.120 -4.579
Y Co Hg
2 1 1
direct
0.000 0.000 0.000
0.750 0.250 0.500
0.500 0.500 0.000
0.250 0.750 0.500


ZnCoHg | the Alexandria database | PBEsol | optimized geometry; energy = -9.3 eV for the cell shown; DFT formation energy = 0.200 eV/atom; D(E_F) = 0.71 states/eV/atom
1.0
-1.478 1.478 4.958
1.478 -1.478 4.958
1.478 1.478 -4.958
Zn Co Hg
1 1 1
direct
0.000 0.000 0.000
0.626 0.626 0.000
0.302 0.302 0.000


ZnCoHg2 | the Alexandria database | PBEsol | optimized geometry; energy = -9.2 eV for the cell shown; DFT formation energy = 0.310 eV/atom; D(E_F) = 1.14 states/eV/atom
1.0
3.030 0.000 0.000
0.000 3.030 0.000
0.000 0.000 7.076
Zn Co Hg
1 1 2
direct
0.000 0.000 0.000
0.000 0.000 0.500
0.500 0.500 0.266
0.500 0.500 0.734


ZnCoHg2 | the Alexandria database | PBEsol | optimized geometry; energy = -9.7 eV for the cell shown; DFT formation energy = 0.200 eV/atom; D(E_F) = 0.59 states/eV/atom
1.0
-1.425 2.187 5.550
1.425 -2.187 5.550
1.425 2.187 -5.550
Zn Co Hg
1 1 2
direct
0.000 0.000 0.000
0.178 0.678 0.500
0.383 0.383 0.000
0.676 0.176 0.500


ZnCoHg2 | the Alexandria database | PBEsol | optimized geometry; energy = -8.9 eV for the cell shown; DFT formation energy = 0.389 eV/atom; D(E_F) = 0.75 states/eV/atom
1.0
0.000 3.194 3.194
3.194 0.000 3.194
3.194 3.194 0.000
Zn Co Hg
1 1 2
direct
0.000 0.000 0.000
0.250 0.250 0.250
0.500 0.500 0.500
0.750 0.750 0.750


ZrCoHg3 | the Alexandria database | PBEsol | optimized geometry; energy = -11.6 eV for the cell shown; DFT formation energy = 1.388 eV/atom; D(E_F) = 0.86 states/eV/atom
1.0
5.391 0.000 0.000
0.000 5.391 0.000
0.000 0.000 5.391
Zr Co Hg
1 1 3
direct
0.000 0.000 0.000
0.500 0.500 0.500
0.000 0.000 0.500
0.000 0.500 0.000
0.500 0.000 0.000


ZrCo3Hg | the Alexandria database | PBEsol | optimized geometry; energy = -26.1 eV for the cell shown; DFT formation energy = 1.364 eV/atom; D(E_F) = 1.63 states/eV/atom
1.0
4.434 0.000 0.000
0.000 4.434 0.000
0.000 0.000 4.434
Zr Co Hg
1 3 1
direct
0.000 0.000 0.000
0.000 0.000 0.500
0.000 0.500 0.000
0.500 0.000 0.000
0.500 0.500 0.500


Ho4Co3 | the Alexandria database | PBEsol | optimized geometry; energy = -133.0 eV for the cell shown; DFT formation energy = -0.188 eV/atom; D(E_F) = 0.69 states/eV/atom
1.0
10.991 0.000 0.000
-5.496 9.519 0.000
0.000 0.000 3.934
Ho Co
12 9
direct
0.026 0.246 0.249
0.135 0.620 0.252
0.220 0.974 0.249
0.246 0.220 0.751
0.380 0.514 0.252
0.486 0.865 0.252
0.514 0.135 0.748
0.620 0.486 0.748
0.754 0.780 0.249
0.780 0.026 0.751
0.865 0.380 0.748
0.974 0.754 0.751
0.000 0.000 0.500
0.156 0.437 0.748
0.281 0.844 0.748
0.333 0.667 0.753
0.437 0.281 0.252
0.563 0.719 0.748
0.667 0.333 0.247
0.719 0.156 0.252
0.844 0.563 0.252


Ho2Co2I | the Alexandria database | PBEsol | optimized geometry; energy = -60.6 eV for the cell shown; D(E_F) = 1.07 states/eV/atom; formation energy without anion corrections = -0.627 eV/atom
1.0
3.862 0.000 0.000
-1.931 3.345 0.000
0.000 0.000 16.514
Ho Co I
4 4 2
direct
0.000 0.000 0.104
0.000 0.000 0.396
0.000 0.000 0.604
0.000 0.000 0.896
0.333 0.667 0.002
0.333 0.667 0.498
0.667 0.333 0.502
0.667 0.333 0.998
0.333 0.667 0.750
0.667 0.333 0.250


Ho6InCo2 | the Alexandria database | PBEsol | optimized geometry; energy = -101.5 eV for the cell shown; DFT formation energy = -0.288 eV/atom; D(E_F) = 0.74 states/eV/atom
1.0
-4.598 4.693 4.887
4.598 -4.693 4.887
4.598 4.693 -4.887
Ho In Co
12 2 4
direct
0.020 0.232 0.789
0.188 0.288 0.476
0.188 0.712 0.900
0.315 0.012 0.697
0.315 0.618 0.303
0.443 0.232 0.211
0.557 0.768 0.789
0.685 0.382 0.697
0.685 0.988 0.303
0.812 0.288 0.100
0.812 0.712 0.524
0.980 0.768 0.211
0.000 0.000 0.000
0.500 0.500 0.000
0.112 0.612 0.500
0.376 0.000 0.376
0.624 0.000 0.624
0.888 0.388 0.500


Ho2In8Co | the Alexandria database | PBEsol | optimized geometry; energy = -45.4 eV for the cell shown; DFT formation energy = -0.358 eV/atom; D(E_F) = 0.37 states/eV/atom
1.0
4.499 0.000 0.000
0.000 4.499 0.000
0.000 0.000 11.919
Ho In Co
2 8 1
direct
0.000 0.000 0.193
0.000 0.000 0.807
0.000 0.500 0.000
0.000 0.500 0.380
0.000 0.500 0.620
0.500 0.000 0.000
0.500 0.000 0.380
0.500 0.000 0.620
0.500 0.500 0.192
0.500 0.500 0.808
0.000 0.000 0.500


Ho8In3Co | the Alexandria database | PBEsol | optimized geometry; energy = -121.7 eV for the cell shown; DFT formation energy = -0.382 eV/atom; D(E_F) = 0.21 states/eV/atom
1.0
10.148 0.000 0.000
-5.074 8.788 0.000
0.000 0.000 6.824
Ho In Co
16 6 2
direct
0.000 0.000 0.281
0.000 0.000 0.781
0.069 0.534 0.290
0.178 0.356 0.000
0.178 0.822 0.000
0.333 0.667 0.681
0.356 0.178 0.500
0.466 0.534 0.290
0.466 0.931 0.290
0.534 0.069 0.790
0.534 0.466 0.790
0.644 0.822 0.000
0.667 0.333 0.181
0.822 0.178 0.500
0.822 0.644 0.500
0.931 0.466 0.790
0.163 0.326 0.538
0.163 0.837 0.538
0.326 0.163 0.038
0.674 0.837 0.538
0.837 0.163 0.038
0.837 0.674 0.038
0.333 0.667 0.070
0.667 0.333 0.570


HoInCo2 | the Alexandria database | PBEsol | optimized geometry; energy = -49.1 eV for the cell shown; DFT formation energy = -0.285 eV/atom; D(E_F) = 1.33 states/eV/atom
1.0
4.928 0.000 0.000
0.000 3.927 0.000
0.000 0.000 6.980
Ho In Co
2 2 4
direct
0.250 0.000 0.224
0.750 0.000 0.776
0.250 0.500 0.852
0.750 0.500 0.148
0.000 0.500 0.500
0.250 0.000 0.593
0.500 0.500 0.500
0.750 0.000 0.407


HoIn5Co | the Alexandria database | PBEsol | optimized geometry; energy = -29.7 eV for the cell shown; DFT formation energy = -0.298 eV/atom; D(E_F) = 0.32 states/eV/atom
1.0
4.485 0.000 0.000
0.000 4.485 0.000
0.000 0.000 7.352
Ho In Co
1 5 1
direct
0.000 0.000 0.000
0.000 0.500 0.306
0.000 0.500 0.694
0.500 0.000 0.306
0.500 0.000 0.694
0.500 0.500 0.000
0.000 0.000 0.500